No. 1
Density functional theory data (GGA-PBE) for an optimized crystal structure of Ba12Ga7H.

a = 16.5792 Å, b = 16.5792 Å, c = 10.1531 Å
α = 90.00°, β = 90.00°, γ = 120.00°
Space group R-3 (No. 148, hexagonal axes)
Symmetry-distinct sites (fractional):
Ba  0.0235  0.1573  0.1728 [18 per cell]
Ba  0.0370  0.2596  0.5739 [18 per cell]
Ga  0.0000  0.0000  0.5000 [3 per cell]
Ga  0.0354  0.4624  0.5732 [18 per cell]
H  0.0000  0.0000  0.0000 [3 per cell]

Properties
E: -2.619 eV per atom
density of states at the Fermi level: 27.34 states/eV/f.u.


No. 2
Density functional theory data (GGA-PBE) for an optimized crystal structure of K2RbCdHg.

a = 6.597 Å, b = 6.597 Å, c = 6.853 Å
α = 90.00°, β = 90.00°, γ = 90.00°
Space group P4/mmm (No. 123)
Symmetry-distinct sites (fractional):
K  0.000  0.500  0.000 [2 per cell]
Rb  0.000  0.000  0.500 [1 per cell]
Cd  0.500  0.500  0.500 [1 per cell]
Hg  0.000  0.000  0.000 [1 per cell]

Properties
density of states at the Fermi level: 4.56 states/eV/f.u.
E above lowest polymorph: 88 meV per atom
ΔE_f: 0.053 eV/atom


No. 3
Density functional theory data (GGA-PBE) for an optimized crystal structure of BaTlAg2.

a = 5.027 Å, b = 5.027 Å, c = 9.014 Å
α = 90.00°, β = 90.00°, γ = 90.00°
Space group I-4m2 (No. 119)
Symmetry-distinct sites (fractional):
Ba  0.000  0.000  0.000 [2 per cell]
Tl  0.000  0.500  0.750 [2 per cell]
Ag  0.000  0.000  0.500 [2 per cell]
Ag  0.000  0.500  0.250 [2 per cell]

Properties
density of states at the Fermi level: 2.64 states/eV/f.u.
E above lowest polymorph: 158 meV per atom
ΔE_f: -0.058 eV/atom